Entry 1:
# AgSb2Pt

A geometry-optimized AgSb2Pt structure (GGA-PBEsol, the Alexandria database).

Calculated volume = 80.1 Å³ per cell
Total magnetization = 0.0 μB/f.u.
Raw formation energy = 0.08 eV/atom
Crystal system = tetragonal

a = 4.1615 Å, b = 4.1615 Å, c = 5.4841 Å
α = 112.30°, β = 112.30°, γ = 90.00°
With the nearest neighbours (Å) after each atom.
Positions (direct):
Sb 0.0000 0.0000 0.0000  4 Ag 2.94, 4 Sb 3.11, 4 Pt 3.11
Sb 0.7500 0.2500 0.5000  4 Pt 2.94, 4 Ag 3.11, 4 Sb 3.11
Ag 0.5000 0.5000 0.0000  8 Sb 2.94-3.11, 4 Pt 3.11
Pt 0.2500 0.7500 0.5000  8 Sb 2.94-3.11, 4 Ag 3.11


Entry 2:
# AgSb2Pt

A geometry-optimized AgSb2Pt structure (GGA-PBEsol, the Alexandria database).

Calculated volume = 80.3 Å³ per cell
Total magnetization = 0.0 μB/f.u.
Raw formation energy = 0.02 eV/atom
Crystal system = tetragonal

a = 4.6435 Å, b = 4.9643 Å, c = 4.6435 Å
α = 117.88°, β = 90.00°, γ = 117.88°
With the nearest neighbours (Å) after each atom.
Positions (direct):
Sb 0.7500 0.5000 0.2500  4 Pt 2.98, 4 Ag 2.98, 4 Sb 3.28
Sb 0.2500 0.5000 0.7500  4 Pt 2.98, 4 Ag 2.98, 4 Sb 3.28
Ag 0.5000 0.0000 0.5000  8 Sb 2.98, 4 Pt 3.28
Pt 0.0000 0.0000 0.0000  8 Sb 2.98, 4 Ag 3.28


Number 2 is which compound? AgSb2Pt